# 1
11
Lattice="7.7299 -2.2576 0.0000 7.7299 2.2576 0.0000 -2.2388 0.0000 5.5630" Properties=species:S:1:pos:R:3 comment="Er2TiPd8 (PBE, optimized geometry)" volume_a3_per_cell=194.2 total_energy_ev_per_fu=-65.83 delta_e_f_ev_per_fu=-7.27 magnetic_moment_mub_per_fu=0.00 pbc="T T T"
Er 2.6362 0.0000 1.0859
Er 10.5848 0.0000 4.4771
Ti 6.6105 0.0000 2.7815
Pd -0.5169 0.0000 1.3399
Pd 1.1250 0.0000 3.7269
Pd 4.2567 0.0000 3.5247
Pd 5.5138 0.0000 0.5616
Pd 7.7072 0.0000 5.0014
Pd 8.9643 0.0000 2.0383
Pd 12.0959 0.0000 1.8361
Pd 13.7379 0.0000 4.2231

=====

# 2
4
Lattice="1.7183 0.9920 10.4016 -1.7183 0.9920 10.4016 0.0000 -1.9841 10.4016" Properties=species:S:1:pos:R:3 comment="ErTl2Pd (PBE, optimized geometry)" volume_a3_per_cell=106.4 total_energy_ev_per_fu=-14.19 delta_e_f_ev_per_fu=0.30 magnetic_moment_mub_per_fu=0.00 pbc="T T T"
Er 0.0000 0.0000 0.0000
Tl 0.0000 0.0000 3.1126
Tl 0.0000 0.0000 28.0922
Pd 0.0000 0.0000 15.6024

=====

# 3
8
Lattice="3.4230 -5.7883 0.0000 3.4230 5.7883 0.0000 -2.9244 0.0000 6.0936" Properties=species:S:1:pos:R:3 comment="Er6TlPd (PBE, optimized geometry)" volume_a3_per_cell=241.5 total_energy_ev_per_fu=-35.46 delta_e_f_ev_per_fu=-0.52 magnetic_moment_mub_per_fu=0.00 pbc="T T T"
Er 0.8221 2.3379 1.4766
Er -0.6792 0.0000 4.7093
Er 0.8221 -2.3379 1.4766
Er 3.0995 2.3379 4.6170
Er 4.6008 0.0000 1.3843
Er 3.0995 -2.3379 4.6170
Tl 1.9608 0.0000 3.0468
Pd 0.0000 0.0000 0.0000

=====

# 4
11
Lattice="7.3990 -2.0871 0.0000 7.3990 2.0871 0.0000 -1.9710 0.0000 6.2322" Properties=species:S:1:pos:R:3 comment="ErTl2Pd8 (PBE, optimized geometry)" volume_a3_per_cell=192.5 total_energy_ev_per_fu=-55.24 delta_e_f_ev_per_fu=-4.40 magnetic_moment_mub_per_fu=0.00 pbc="T T T"
Er 0.0000 0.0000 0.0000
Tl 3.4788 0.0000 2.1318
Tl 9.3483 0.0000 4.1005
Pd 0.4191 0.0000 2.8630
Pd 0.8300 0.0000 5.6942
Pd 3.7650 0.0000 5.0524
Pd 6.2780 0.0000 1.7221
Pd 6.5490 0.0000 4.5102
Pd 9.0621 0.0000 1.1798
Pd 11.9971 0.0000 0.5380
Pd 12.4080 0.0000 3.3692

=====

# 5
20
Lattice="4.0849 0.0000 0.0000 0.0000 4.0849 0.0000 0.0000 0.0000 20.5092" Properties=species:S:1:pos:R:3 comment="ErTl4Pd15 (PBE, optimized geometry)" volume_a3_per_cell=342.2 total_energy_ev_per_fu=-98.53 delta_e_f_ev_per_fu=-6.60 magnetic_moment_mub_per_fu=0.00 pbc="T T T"
Er 0.0000 0.0000 0.0000
Tl 0.0000 0.0000 4.1333
Tl 0.0000 0.0000 8.2046
Tl 0.0000 0.0000 12.3046
Tl 0.0000 0.0000 16.3759
Pd 0.0000 2.0425 2.0543
Pd 0.0000 2.0425 6.1617
Pd 0.0000 2.0425 10.2546
Pd 0.0000 2.0425 14.3475
Pd 0.0000 2.0425 18.4549
Pd 2.0425 0.0000 2.0543
Pd 2.0425 0.0000 6.1617
Pd 2.0425 0.0000 10.2546
Pd 2.0425 0.0000 14.3475
Pd 2.0425 0.0000 18.4549
Pd 2.0425 2.0425 0.0000
Pd 2.0425 2.0425 4.0872
Pd 2.0425 2.0425 8.2113
Pd 2.0425 2.0425 12.2979
Pd 2.0425 2.0425 16.4220

=====

# 6
16
Lattice="4.1043 0.0000 0.0000 0.0000 4.1043 0.0000 0.0000 0.0000 16.3744" Properties=species:S:1:pos:R:3 comment="Er3TlPd12 (PBE, optimized geometry)" volume_a3_per_cell=275.8 total_energy_ev_per_fu=-90.01 delta_e_f_ev_per_fu=-11.65 magnetic_moment_mub_per_fu=0.00 pbc="T T T"
Er 0.0000 0.0000 0.0000
Er 0.0000 0.0000 4.1110
Er 0.0000 0.0000 12.2634
Tl 0.0000 0.0000 8.1872
Pd 0.0000 2.0521 2.0480
Pd 0.0000 2.0521 6.1412
Pd 0.0000 2.0521 10.2332
Pd 0.0000 2.0521 14.3264
Pd 2.0521 0.0000 2.0480
Pd 2.0521 0.0000 6.1412
Pd 2.0521 0.0000 10.2332
Pd 2.0521 0.0000 14.3264
Pd 2.0521 2.0521 0.0000
Pd 2.0521 2.0521 4.0982
Pd 2.0521 2.0521 8.1872
Pd 2.0521 2.0521 12.2762

=====

# 7
18
Lattice="13.7603 0.0000 0.0000 0.0000 3.7103 0.0000 0.0000 0.0000 7.9025" Properties=species:S:1:pos:R:3 comment="ErTlPd (PBE, optimized geometry)" volume_a3_per_cell=403.5 total_energy_ev_per_fu=-14.03 delta_e_f_ev_per_fu=-1.91 magnetic_moment_mub_per_fu=0.00 polymorph_energy_mev_per_atom=9 pbc="T T T"
Er 0.6975 0.0000 1.7365
Er 3.4401 0.0000 6.5826
Er 6.1826 0.0000 1.7365
Er 7.5777 0.0000 6.1660
Er 10.3202 0.0000 1.3199
Er 13.0627 0.0000 6.1660
Tl 1.5068 1.8551 4.4976
Tl 3.4401 1.8551 1.3883
Tl 5.3733 1.8551 4.4976
Tl 8.3869 1.8551 3.4049
Tl 10.3202 1.8551 6.5142
Tl 12.2535 1.8551 3.4049
Pd 1.2885 1.8551 7.3701
Pd 3.4401 0.0000 3.5243
Pd 5.5916 1.8551 7.3701
Pd 8.1687 1.8551 0.5324
Pd 10.3202 0.0000 4.3782
Pd 12.4717 1.8551 0.5324

=====

# 8
18
Lattice="-4.7051 4.8701 5.1566 4.7051 -4.8701 5.1566 4.7051 4.8701 -5.1566" Properties=species:S:1:pos:R:3 comment="Er6TlPd2 (PBE, optimized geometry)" volume_a3_per_cell=472.6 total_energy_ev_per_fu=-44.87 delta_e_f_ev_per_fu=-4.74 magnetic_moment_mub_per_fu=0.00 pbc="T T T"
Er 4.7051 2.9059 -2.7139
Er 2.7289 1.7856 0.0000
Er 6.6813 1.7856 0.0000
Er 1.8835 4.8701 -1.7772
Er 2.8216 0.0000 3.3794
Er 0.0000 1.9642 2.4427
Er 4.7051 2.9059 2.7139
Er 1.8835 4.8701 1.7772
Er 2.8216 0.0000 6.9338
Er -1.9762 3.0845 5.1566
Er 1.9762 3.0845 5.1566
Er 0.0000 1.9642 7.8704
Tl 0.0000 0.0000 0.0000
Tl 0.0000 0.0000 5.1566
Pd 4.7051 0.0000 1.3795
Pd 0.0000 3.3754 0.0000
Pd 0.0000 6.3647 0.0000
Pd 0.0000 4.8701 3.7771